Entry 1:
## CeMgCu (GGA-PBE)

Data for crystalline CeMgCu at its relaxed geometry.

Lattice parameters (Å, degrees): 4.717 4.717 7.124 70.67 70.67 60.00
Fractional coordinates of all 6 atoms:
Mg1 0.701 0.701 0.898
Ce1 0.866 0.866 0.403
Ce2 0.134 0.134 0.597
Mg2 0.299 0.299 0.102
Cu1 0.433 0.433 0.702
Cu2 0.567 0.567 0.298

=====

Entry 2:
## CeMgCuOs (GGA-PBE)

Data for crystalline CeMgCuOs at its relaxed geometry.

Lattice parameters (Å, degrees): 4.715 4.715 4.715 60.00 60.00 60.00
Fractional coordinates of all 4 atoms:
Cu1 0.250 0.250 0.250
Mg1 0.500 0.500 0.500
Os1 0.750 0.750 0.750
Ce1 0.000 0.000 0.000

=====

Entry 3:
## CeMgCuPb (GGA-PBE)

Data for crystalline CeMgCuPb at its relaxed geometry.

Lattice parameters (Å, degrees): 5.118 5.118 5.118 60.00 60.00 60.00
Last column: magnetic moment on the atom in μB.
Fractional coordinates of all 4 atoms:
Pb1 0.750 0.750 0.750  0.00
Ce1 0.000 0.000 0.000  0.76
Mg1 0.500 0.500 0.500  0.00
Cu1 0.250 0.250 0.250  -0.01

=====

Entry 4:
## Ce2MgCuS5 (GGA-PBE)

Data for crystalline Ce2MgCuS5 at its relaxed geometry.

Lattice parameters (Å, degrees): 3.876 8.389 11.287 90.00 90.00 103.36
Last column: magnetic moment on the atom in μB.
Fractional coordinates of all 18 atoms:
Mg1 0.197 0.394 0.011  0.00
S1 0.043 0.086 0.060  -0.04
S2 0.496 0.991 0.776  -0.04
S3 0.311 0.623 0.353  -0.03
S4 0.957 0.914 0.560  -0.04
Cu1 0.445 0.890 0.455  -0.06
S5 0.648 0.296 0.503  -0.02
S6 0.290 0.580 0.668  -0.02
Ce1 0.128 0.257 0.307  0.57
S7 0.710 0.420 0.168  -0.02
S8 0.689 0.377 0.853  -0.03
Ce2 0.889 0.777 0.191  0.61
S9 0.504 0.009 0.276  -0.04
Cu2 0.555 0.110 0.955  -0.06
Ce3 0.872 0.743 0.807  0.57
S10 0.352 0.704 0.003  -0.02
Ce4 0.111 0.223 0.691  0.61
Mg2 0.803 0.606 0.511  0.00

Properties
For the uncorrected formation energy, the calculation gives -1.502 eV/atom.

=====

Entry 5:
## CeMg2CuSi2 (GGA-PBE)

Data for crystalline CeMg2CuSi2 at its relaxed geometry.

Lattice parameters (Å, degrees): 5.168 5.168 6.412 113.77 113.77 90.00
Last column: magnetic moment on the atom in μB.
Fractional coordinates of all 6 atoms:
Mg1 0.250 0.750 0.500  0.00
Cu1 0.000 0.000 0.000  -0.01
Si1 0.792 0.792 0.583  -0.01
Mg2 0.750 0.250 0.500  0.00
Ce1 0.500 0.500 0.000  1.04
Si2 0.208 0.208 0.417  -0.01

Properties
For the uncorrected formation energy, the calculation gives 0.128 eV/atom.

=====

Entry 6:
## Ce2MgCu4Si3 (GGA-PBE)

Data for crystalline Ce2MgCu4Si3 at its relaxed geometry.

Lattice parameters (Å, degrees): 4.111 4.111 10.156 90.00 90.00 90.00
Last column: magnetic moment on the atom in μB.
Fractional coordinates of all 10 atoms:
Mg1 0.500 0.500 0.500  0.00
Si1 0.000 0.000 0.500  0.00
Ce1 0.500 0.000 0.233  0.46
Si2 0.000 0.500 0.128  -0.01
Ce2 0.000 0.500 0.767  0.46
Cu1 0.500 0.000 0.642  0.00
Si3 0.500 0.000 0.872  -0.01
Cu2 0.500 0.500 0.000  0.00
Cu3 0.000 0.500 0.358  0.00
Cu4 0.000 0.000 0.000  0.00

Properties
For the uncorrected formation energy, the calculation gives -0.448 eV/atom.

=====

Entry 7:
## CeMgCuSi (GGA-PBE)

Data for crystalline CeMgCuSi at its relaxed geometry.

Lattice parameters (Å, degrees): 4.793 4.793 4.793 60.00 60.00 60.00
Last column: magnetic moment on the atom in μB.
Fractional coordinates of all 4 atoms:
Cu1 0.250 0.250 0.250  0.00
Mg1 0.500 0.500 0.500  0.01
Si1 0.750 0.750 0.750  0.00
Ce1 0.000 0.000 0.000  0.47

Properties
For the uncorrected formation energy, the calculation gives -0.275 eV/atom.

=====

Entry 8:
## CeSmMgCu (GGA-PBE)

Data for crystalline CeSmMgCu at its relaxed geometry.

Lattice parameters (Å, degrees): 5.229 5.229 5.229 60.00 60.00 60.00
Last column: magnetic moment on the atom in μB.
Fractional coordinates of all 4 atoms:
Mg1 0.750 0.750 0.750  0.00
Sm1 0.500 0.500 0.500  0.07
Ce1 0.000 0.000 0.000  0.78
Cu1 0.250 0.250 0.250  0.03

=====

Entry 9:
## CeMgCuSn (GGA-PBE)

Data for crystalline CeMgCuSn at its relaxed geometry.

Lattice parameters (Å, degrees): 5.044 5.044 5.044 60.00 60.00 60.00
Last column: magnetic moment on the atom in μB.
Fractional coordinates of all 4 atoms:
Mg1 0.000 0.000 0.000  0.00
Sn1 0.250 0.250 0.250  0.00
Ce1 0.500 0.500 0.500  0.67
Cu1 0.750 0.750 0.750  -0.01

=====

Entry 10:
## CeMg2Cu2Sn2 (GGA-PBE)

Data for crystalline CeMg2Cu2Sn2 at its relaxed geometry.

Lattice parameters (Å, degrees): 4.480 4.480 8.849 75.34 75.34 60.00
Last column: magnetic moment on the atom in μB.
Fractional coordinates of all 7 atoms:
Mg1 0.862 0.862 0.415  0.00
Sn1 0.741 0.741 0.778  -0.01
Cu1 0.554 0.554 0.337  -0.01
Sn2 0.259 0.259 0.222  -0.01
Cu2 0.446 0.446 0.663  -0.01
Mg2 0.138 0.138 0.585  0.00
Ce1 0.000 0.000 0.000  0.68

=====

Entry 11:
## CeMg2ZnCu2 (GGA-PBE)

Data for crystalline CeMg2ZnCu2 at its relaxed geometry.

Lattice parameters (Å, degrees): 5.004 5.004 6.362 113.16 113.16 90.00
Last column: magnetic moment on the atom in μB.
Fractional coordinates of all 6 atoms:
Mg1 0.750 0.250 0.500  0.00
Ce1 0.500 0.500 0.000  1.04
Mg2 0.250 0.750 0.500  0.00
Zn1 0.000 0.000 0.000  0.01
Cu1 0.222 0.222 0.444  0.01
Cu2 0.778 0.778 0.556  0.01

=====

Entry 12:
## CeMn2Cu9 (GGA-PBE)

Data for crystalline CeMn2Cu9 at its relaxed geometry.

Lattice parameters (Å, degrees): 8.281 8.281 4.932 90.00 90.00 90.00
Last column: magnetic moment on the atom in μB.
Fractional coordinates of all 24 atoms:
Cu1 0.000 0.500 0.500  0.03
Ce1 0.500 0.500 0.000  0.45
Mn1 0.383 0.117 0.000  3.71
Cu2 0.790 0.935 0.500  0.02
Mn2 0.883 0.383 0.000  3.71
Cu3 0.822 0.678 0.240  0.07
Cu4 0.065 0.790 0.500  0.02
Cu5 0.710 0.435 0.500  0.02
Cu6 0.322 0.822 0.240  0.07
Cu7 0.678 0.178 0.760  0.07
Cu8 0.565 0.710 0.500  0.02
Cu9 0.178 0.322 0.760  0.07
Cu10 0.322 0.822 0.760  0.07
Cu11 0.678 0.178 0.240  0.07
Cu12 0.210 0.065 0.500  0.02
Mn3 0.617 0.883 0.000  3.71
Ce2 0.000 0.000 0.000  0.45
Cu13 0.935 0.210 0.500  0.02
Mn4 0.117 0.617 0.000  3.71
Cu14 0.435 0.290 0.500  0.02
Cu15 0.822 0.678 0.760  0.07
Cu16 0.500 0.000 0.500  0.03
Cu17 0.178 0.322 0.240  0.07
Cu18 0.290 0.565 0.500  0.02

=====

Entry 13:
## CeMnCu5 (GGA-PBE)

Data for crystalline CeMnCu5 at its relaxed geometry.

Lattice parameters (Å, degrees): 5.053 8.177 10.245 90.00 90.00 90.00
Last column: magnetic moment on the atom in μB.
Fractional coordinates of all 28 atoms:
Cu1 0.750 0.559 0.596  0.04
Cu2 0.750 0.317 0.747  0.04
Cu3 0.995 0.434 0.191  0.04
Cu4 0.495 0.066 0.691  0.04
Ce1 0.750 0.256 0.438  -0.43
Cu5 0.505 0.434 0.191  0.04
Cu6 0.495 0.566 0.809  0.04
Cu7 0.250 0.683 0.253  0.04
Cu8 0.250 0.441 0.404  0.04
Mn1 0.750 0.147 0.144  3.71
Cu9 0.250 0.941 0.096  0.04
Ce2 0.250 0.744 0.562  -0.43
Cu10 0.505 0.934 0.309  0.04
Cu11 0.005 0.566 0.809  0.04
Ce3 0.250 0.244 0.938  -0.43
Cu12 0.750 0.817 0.753  0.04
Cu13 0.250 0.096 0.483  0.03
Cu14 0.005 0.066 0.691  0.04
Cu15 0.750 0.904 0.517  0.03
Cu16 0.250 0.596 0.017  0.03
Cu17 0.995 0.934 0.309  0.04
Ce4 0.750 0.756 0.062  -0.43
Mn2 0.250 0.353 0.644  3.71
Cu18 0.750 0.404 0.983  0.03
Mn3 0.750 0.647 0.356  3.71
Cu19 0.750 0.059 0.904  0.04
Cu20 0.250 0.183 0.247  0.04
Mn4 0.250 0.853 0.856  3.71

=====

Entry 14:
## Ce2Mn3Cu9P7 (GGA-PBE)

Data for crystalline Ce2Mn3Cu9P7 at its relaxed geometry.

Lattice parameters (Å, degrees): 9.525 9.525 3.819 90.00 90.00 120.00
Last column: magnetic moment on the atom in μB.
Fractional coordinates of all 21 atoms:
Cu1 0.621 0.911 0.000  0.03
Ce1 0.000 0.000 0.000  0.65
Mn1 0.587 0.122 0.500  3.36
Cu2 0.390 0.169 0.000  0.04
Cu3 0.048 0.295 0.500  0.03
Cu4 0.779 0.610 0.000  0.04
Cu5 0.831 0.221 0.000  0.04
Mn2 0.536 0.413 0.500  3.36
Ce2 0.333 0.667 0.500  0.56
P1 0.667 0.333 0.000  -0.01
Cu6 0.290 0.379 0.000  0.03
Mn3 0.878 0.464 0.500  3.36
P2 0.540 0.623 0.000  0.00
P3 0.377 0.917 0.000  0.00
P4 0.251 0.212 0.500  -0.01
P5 0.962 0.749 0.500  -0.01
P6 0.788 0.038 0.500  -0.01
Cu7 0.247 0.952 0.500  0.03
Cu8 0.089 0.710 0.000  0.03
Cu9 0.705 0.753 0.500  0.03
P7 0.083 0.460 0.000  0.00

=====

Entry 15:
## Ce2MnCu2S6 (GGA-PBE)

Data for crystalline Ce2MnCu2S6 at its relaxed geometry.

Lattice parameters (Å, degrees): 6.866 6.866 6.923 60.27 60.27 60.00
Last column: magnetic moment on the atom in μB.
Fractional coordinates of all 11 atoms:
S1 0.784 0.238 0.740  -0.03
Cu1 0.587 0.587 0.240  -0.01
Ce1 0.211 0.211 0.368  0.87
Cu2 0.413 0.413 0.760  -0.01
Mn1 0.000 0.000 0.000  2.86
S2 0.238 0.238 0.740  -0.03
S3 0.216 0.762 0.260  -0.03
S4 0.762 0.216 0.260  -0.03
S5 0.762 0.762 0.260  -0.03
S6 0.238 0.784 0.740  -0.03
Ce2 0.789 0.789 0.632  0.87

Properties
For the uncorrected formation energy, the calculation gives -0.867 eV/atom.

=====

Entry 16:
## Ce2MnCuS5 (GGA-PBE)

Data for crystalline Ce2MnCuS5 at its relaxed geometry.

Lattice parameters (Å, degrees): 3.862 8.372 11.196 90.00 90.00 103.34
Last column: magnetic moment on the atom in μB.
Fractional coordinates of all 18 atoms:
Mn1 0.196 0.392 0.012  4.03
Cu1 0.436 0.872 0.455  0.01
Ce1 0.112 0.224 0.693  0.75
Ce2 0.129 0.257 0.306  0.70
Ce3 0.871 0.743 0.806  0.70
S1 0.711 0.421 0.164  0.01
S2 0.692 0.385 0.854  0.01
S3 0.503 0.006 0.278  -0.03
Ce4 0.888 0.776 0.193  0.75
S4 0.497 0.994 0.778  -0.03
S5 0.350 0.701 0.003  -0.01
S6 0.308 0.615 0.354  0.01
S7 0.048 0.095 0.060  0.01
Cu2 0.564 0.128 0.955  0.01
S8 0.952 0.905 0.560  0.01
Mn2 0.804 0.608 0.512  4.03
S9 0.650 0.299 0.503  -0.01
S10 0.289 0.579 0.664  0.01

Properties
For the uncorrected formation energy, the calculation gives -1.330 eV/atom.

=====

Entry 17:
## Ce2MnCuSe5 (GGA-PBE)

Data for crystalline Ce2MnCuSe5 at its relaxed geometry.

Lattice parameters (Å, degrees): 4.026 8.849 11.672 90.00 90.00 103.15
Last column: magnetic moment on the atom in μB.
Fractional coordinates of all 18 atoms:
Se1 0.349 0.699 0.003  -0.02
Se2 0.710 0.420 0.165  -0.01
Cu1 0.429 0.858 0.455  0.00
Se3 0.045 0.090 0.061  0.00
Se4 0.955 0.910 0.561  0.00
Mn1 0.808 0.615 0.512  4.06
Se5 0.651 0.301 0.503  -0.02
Se6 0.290 0.580 0.665  -0.01
Mn2 0.192 0.385 0.012  4.06
Ce1 0.874 0.749 0.806  0.76
Se7 0.501 0.003 0.279  -0.03
Se8 0.305 0.609 0.351  0.00
Ce2 0.113 0.225 0.693  0.80
Se9 0.695 0.391 0.851  0.00
Ce3 0.887 0.775 0.193  0.80
Se10 0.499 0.997 0.779  -0.03
Cu2 0.571 0.142 0.955  0.00
Ce4 0.126 0.251 0.306  0.76

Properties
For the uncorrected formation energy, the calculation gives -1.181 eV/atom.

=====

Entry 18:
## CeMnCuSi2 (GGA-PBE)

Data for crystalline CeMnCuSi2 at its relaxed geometry.

Lattice parameters (Å, degrees): 4.046 4.046 5.832 110.30 110.30 90.00
Last column: magnetic moment on the atom in μB.
Fractional coordinates of all 5 atoms:
Mn1 0.750 0.250 0.500  2.82
Si1 0.381 0.381 0.762  -0.04
Si2 0.619 0.619 0.238  -0.04
Cu1 0.250 0.750 0.500  0.05
Ce1 0.000 0.000 0.000  0.39

Properties
For the uncorrected formation energy, the calculation gives -0.519 eV/atom.

=====

Entry 19:
## CeTmMnCu (GGA-PBE)

Data for crystalline CeTmMnCu at its relaxed geometry.

Lattice parameters (Å, degrees): 4.889 4.889 4.889 60.00 60.00 60.00
Last column: magnetic moment on the atom in μB.
Fractional coordinates of all 4 atoms:
Cu1 0.250 0.250 0.250  -0.01
Tm1 0.500 0.500 0.500  -0.33
Mn1 0.750 0.750 0.750  2.79
Ce1 0.000 0.000 0.000  -0.68

=====

Entry 20:
## Ce2CuN (GGA-PBE)

Data for crystalline Ce2CuN at its relaxed geometry.

Lattice parameters (Å, degrees): 3.265 3.265 8.951 79.49 79.49 60.00
Fractional coordinates of all 4 atoms:
Ce1 0.110 0.110 0.669
N1 0.500 0.500 0.500
Ce2 0.890 0.890 0.331
Cu1 0.000 0.000 0.000

Properties
For the uncorrected formation energy, the calculation gives -0.345 eV/atom.

=====

| no. | uncorrected energy (eV/atom) | size of the total moment (μB/f.u.) |
| --- | --- | --- |
| 1 | -3.958 | 0.00 |
| 2 | -5.704 | 0.00 |
| 3 | -3.984 | 0.90 |
| 4 | -5.746 | 1.05 |
| 5 | -3.883 | 1.23 |
| 6 | -5.060 | 1.00 |
| 7 | -4.537 | 0.59 |
| 8 | -4.030 | 1.12 |
| 9 | -4.172 | 0.79 |
| 10 | -3.910 | 0.69 |
| 11 | -2.965 | 1.46 |
| 12 | -5.098 | 8.52 |
| 13 | -5.134 | 3.53 |
| 14 | -5.865 | 12.17 |
| 15 | -5.776 | 4.67 |
| 16 | -6.415 | 5.96 |
| 17 | -5.909 | 6.01 |
| 18 | -6.528 | 3.42 |
| 19 | -5.878 | 1.67 |
| 20 | -6.418 | 0.00 |